Below is crystalline SrMgZn2Ga at its relaxed geometry, with properties calculated at the PBE level.

Geometry as CIF:
```
data_SrMgZn2Ga
_symmetry_space_group_name_H-M 'I 4 m m'
_symmetry_Int_Tables_number 107
_symmetry_space_group_name_Hall 'I 4 -2'
_cell_length_a 4.450
_cell_length_b 4.450
_cell_length_c 11.332
_cell_angle_alpha 90.00
_cell_angle_beta 90.00
_cell_angle_gamma 90.00
loop_
_atom_site_label
_atom_site_type_symbol
_atom_site_fract_x
_atom_site_fract_y
_atom_site_fract_z
Sr1 Sr 0.000 0.000 0.000
Mg1 Mg 0.000 0.000 0.375
Zn1 Zn 0.000 0.500 0.234
Ga1 Ga 0.000 0.000 0.617
```

Properties
Total energy ... -1.966 eV per atom



Below is crystalline YCuBIr at its relaxed geometry, with properties calculated at the PBE level.

Geometry as CIF:
```
data_YCuBIr
_symmetry_space_group_name_H-M 'F -4 3 m'
_symmetry_Int_Tables_number 216
_symmetry_space_group_name_Hall 'F -4 2 3'
_cell_length_a 6.239
_cell_length_b 6.239
_cell_length_c 6.239
_cell_angle_alpha 90.00
_cell_angle_beta 90.00
_cell_angle_gamma 90.00
loop_
_atom_site_label
_atom_site_type_symbol
_atom_site_fract_x
_atom_site_fract_y
_atom_site_fract_z
Y1 Y 0.000 0.000 0.000
Cu1 Cu 0.250 0.250 0.750
B1 B 0.000 0.000 0.500
Ir1 Ir 0.250 0.250 0.250
```

Properties
Total magnetic moment ... 0.00 μB per atom
Total energy ... -6.026 eV per atom



Below is crystalline RbZrB4 at its relaxed geometry, with properties calculated at the PBE level.

Geometry as CIF:
```
data_RbZrB4
_symmetry_space_group_name_H-M 'P 6/m m m'
_symmetry_Int_Tables_number 191
_symmetry_space_group_name_Hall '-P 6 2'
_cell_length_a 3.1909
_cell_length_b 3.1909
_cell_length_c 8.7431
_cell_angle_alpha 90.00
_cell_angle_beta 90.00
_cell_angle_gamma 120.00
loop_
_atom_site_label
_atom_site_type_symbol
_atom_site_fract_x
_atom_site_fract_y
_atom_site_fract_z
Rb1 Rb 0.0000 0.0000 0.0000
Zr1 Zr 0.0000 0.0000 0.5000
B1 B 0.3333 0.6667 0.3036
```

Properties
Total magnetic moment ... 0.00 μB per atom
Total energy ... -6.206 eV per atom